No. 1
DFT (PBE) results for a geometry-optimized FeAsHBr2 structure.

Unit cell a=4.9906 b=4.9906 c=4.4162 alpha=90.00 beta=90.00 gamma=90.00
Element x y z (fractional)
Fe1 0.0000 0.0000 0.0000
As1 0.0000 0.0000 0.5000
H1 0.5000 0.5000 0.5000
Br1 0.0000 0.5000 0.0000
Br2 0.5000 0.0000 0.0000

## Properties
- space-group type = No. 123
- total magnetization (μB per formula unit) = 0.00
- distance to the lowest polymorph of the same formula (eV per atom) = 0.0699
- VASP energy (eV/atom) = -3.206

No. 2
DFT (PBE) results for a geometry-optimized Nd4InAg3 structure.

Unit cell a=9.2873 b=9.2873 c=9.2873 alpha=33.53 beta=33.53 gamma=33.53
Element x y z (fractional)
Nd1 0.1213 0.1213 0.1213
Nd2 0.3723 0.3723 0.3723
Nd3 0.6277 0.6277 0.6277
Nd4 0.8787 0.8787 0.8787
In1 0.5000 0.5000 0.5000
Ag1 0.0000 0.0000 0.0000
Ag2 0.2453 0.2453 0.2453
Ag3 0.7547 0.7547 0.7547

## Properties
- space-group type = No. 166
- total magnetization (μB per formula unit) = 0.02
- VASP energy (eV/atom) = -4.110

No. 3
DFT (PBE) results for a geometry-optimized Sm2Y12Er structure.

Unit cell a=3.5447 b=5.6941 c=24.8193 alpha=90.00 beta=90.00 gamma=90.00
Element x y z (fractional)
Sm1 0.0000 0.0000 0.2330
Sm2 0.0000 0.0000 0.7670
Y1 0.0000 0.5000 0.0618
Y2 0.0000 0.5000 0.4238
Y3 0.0000 0.5000 0.5762
Y4 0.0000 0.5000 0.9382
Y5 0.5000 0.0000 0.0857
Y6 0.5000 0.0000 0.3739
Y7 0.5000 0.0000 0.6261
Y8 0.5000 0.0000 0.9143
Y9 0.5000 0.5000 0.1735
Y10 0.5000 0.5000 0.3019
Y11 0.5000 0.5000 0.6981
Y12 0.5000 0.5000 0.8265
Er1 0.0000 0.0000 0.5000

## Properties
- space-group type = No. 47
- total magnetization (μB per formula unit) = 0.00
- VASP energy (eV/atom) = -5.934

No. 4
DFT (PBE) results for a geometry-optimized Cr2CoNiOs structure.

Unit cell a=4.1181 b=4.1181 c=4.4012 alpha=90.00 beta=90.00 gamma=90.00
Element x y z (fractional)
Cr1 0.0000 0.5000 0.0000
Cr2 0.5000 0.0000 0.0000
Co1 0.0000 0.0000 0.0000
Ni1 0.5000 0.5000 0.5000
Os1 0.0000 0.0000 0.5000

## Properties
- space-group type = No. 123
- total magnetization (μB per formula unit) = 0.00
- VASP energy (eV/atom) = -7.203

No. 5
DFT (PBE) results for a geometry-optimized CaIrBr structure.

Unit cell a=4.3588 b=4.3588 c=8.0445 alpha=90.00 beta=90.00 gamma=120.00
Element x y z (fractional)
Ca1 0.0000 0.0000 0.0000
Ca2 0.0000 0.0000 0.5000
Ir1 0.3333 0.6667 0.2500
Ir2 0.6667 0.3333 0.7500
Br1 0.3333 0.6667 0.7500
Br2 0.6667 0.3333 0.2500

## Properties
- space-group type = No. 194
- total magnetization (μB per formula unit) = 0.00
- distance to the lowest polymorph of the same formula (eV per atom) = 0.9285
- VASP energy (eV/atom) = -4.322

No. 6
DFT (PBE) results for a geometry-optimized Fe2HgW structure.

Unit cell a=5.2639 b=5.2639 c=5.2639 alpha=147.74 beta=129.80 gamma=60.93
Element x y z (fractional)
Fe1 0.0000 0.0000 0.0000
Fe2 0.7869 0.2869 0.5000
Hg1 0.2591 0.7591 0.5000
W1 0.5403 0.5403 0.0000

## Properties
- space-group type = No. 44
- total magnetization (μB per formula unit) = 4.04
- VASP energy (eV/atom) = -7.025